Entry 1:
This record from Alexandria describes SrCuSi2 at its PBEsol-relaxed geometry. The functional is meta-GGA SCAN.

Cell lengths 4.143, 4.143, 4.305 Å; angles 90.00, 90.00, 90.00 degrees
Atoms (fractional coordinates):
Sr 0.000 0.000 0.000
Cu 0.500 0.500 0.000
Si 0.000 0.500 0.500
Si 0.500 0.000 0.500

Properties
- ΔE_f (raw): 0.34 eV/atom
- E_tot: -56.2 eV/cell
- Total magnetization: 0.00 μB per formula unit

Entry 2:
This record from Alexandria describes Ta6V3Ni3C2 at its PBEsol-relaxed geometry. The functional is meta-GGA SCAN.

Cell lengths 8.074, 8.074, 8.074 Å; angles 120.17, 119.94, 89.90 degrees
Atoms (fractional coordinates):
Ta 0.000 0.000 0.000
Ta 0.245 0.126 0.501
Ta 0.245 0.745 0.119
Ta 0.250 0.750 0.500
Ta 0.376 0.376 0.381
Ta 0.376 0.995 0.000
Ta 0.380 0.380 0.000
Ta 0.625 0.126 0.881
Ta 0.625 0.745 0.499
Ta 0.631 0.131 0.500
Ta 0.995 0.376 0.000
Ta 0.995 0.995 0.619
V 0.018 0.356 0.662
V 0.315 0.567 0.748
V 0.694 0.356 0.338
V 0.812 0.054 0.242
V 0.812 0.570 0.758
V 0.819 0.567 0.252
Ni 0.016 0.360 0.344
Ni 0.016 0.672 0.656
Ni 0.606 0.446 0.840
Ni 0.606 0.766 0.160
Ni 0.608 0.763 0.845
Ni 0.919 0.763 0.155
C 0.310 0.061 0.751
C 0.310 0.559 0.249
C 0.311 0.061 0.249
C 0.812 0.061 0.751

Properties
- E_tot: -1053.0 eV/cell
- Total magnetization: 0.00 μB per formula unit
- Formation energy: -414 meV per atom

Entry 3:
This record from Alexandria describes K2FeAs at its PBEsol-relaxed geometry. The functional is meta-GGA SCAN.

Cell lengths 4.444, 5.985, 5.985 Å; angles 54.08, 90.00, 90.00 degrees
Atoms (fractional coordinates):
K 0.000 0.000 0.000
K 0.500 0.307 0.307
Fe 0.500 0.636 0.636
As 0.000 0.684 0.684

Properties
- E_tot: -55.6 eV/cell
- Total magnetization: 2.93 μB per formula unit
- Formation energy: -160 meV per atom

Entry 4:
This record from Alexandria describes BaNaBi2 at its PBEsol-relaxed geometry. The functional is meta-GGA SCAN.

Cell lengths 5.757, 5.757, 5.757 Å; angles 60.00, 60.00, 60.00 degrees
Atoms (fractional coordinates):
Ba 0.000 0.000 0.000
Na 0.500 0.500 0.500
Bi 0.250 0.250 0.250
Bi 0.750 0.750 0.750

Properties
- E_tot: -203.1 eV/cell
- Total magnetization: 0.00 μB per formula unit
- Formation energy: -536 meV per atom

Entry 5:
This record from Alexandria describes LiCoOF2 at its PBEsol-relaxed geometry. The functional is meta-GGA SCAN.

Cell lengths 3.939, 3.939, 3.524 Å; angles 90.00, 90.00, 90.00 degrees
Atoms (fractional coordinates):
Li 0.000 0.000 0.000
Co 0.500 0.500 0.500
O 0.500 0.500 0.000
F 0.000 0.500 0.500
F 0.500 0.000 0.500

Properties
- ΔE_f (raw): -1.95 eV/atom
- E_tot: -42.7 eV/cell
- Total magnetization: 2.93 μB per formula unit

Entry 6:
This record from Alexandria describes Ta2AgW at its PBEsol-relaxed geometry. The functional is meta-GGA SCAN.

Cell lengths 5.241, 5.241, 5.241 Å; angles 141.87, 129.67, 64.86 degrees
Atoms (fractional coordinates):
Ta 0.000 0.000 0.000
Ta 0.748 0.248 0.500
Ag 0.489 0.489 0.000
W 0.234 0.734 0.500

Properties
- Relative energy among the computed polymorphs: 152.2 meV/atom
- E_tot: -232.8 eV/cell
- Total magnetization: 0.00 μB per formula unit
- Formation energy: 353 meV per atom

> Look up the E_tot of the third one.

-55.6 eV/cell